# NpGaSn

A relaxed NpGaSn crystal (PBE, OQMD).

Results
crystal system: cubic
V: 25.32 A^3/atom
total magnetization: 1.552 μB per atom
uncorrected energy: -6.499 eV per atom

Unit cell a=6.7224 b=6.7224 c=6.7224 alpha=90.00 beta=90.00 gamma=90.00
Space group F-43m (No. 216)
Symmetry-distinct sites (fractional):
Np: 0.0000 0.0000 0.0000
Ga: 0.2500 0.2500 0.2500
Sn: 0.0000 0.0000 0.5000